# Li24Mn5Cr7O36 (GGA+U, optimized geometry)
data_Li24Mn5Cr7O36
_chemical_formula_sum 'Li24 Mn5 Cr7 O36'
_space_group_name_H-M_alt 'P 1'
_space_group_IT_number 1
_cell_length_a 5.0242
_cell_length_b 9.7442
_cell_length_c 13.2913
_cell_angle_alpha 96.95
_cell_angle_beta 100.49
_cell_angle_gamma 94.77
loop_
_space_group_symop_operation_xyz
'x,y,z'
loop_
_atom_site_label
_atom_site_type_symbol
_atom_site_fract_x
_atom_site_fract_y
_atom_site_fract_z
O1 O 0.5237 0.6390 0.6914
O2 O 0.1967 0.6361 0.0251
O3 O 0.0686 0.1366 0.2852
O4 O 0.3330 0.6367 0.2359
O5 O 0.8183 0.8638 0.4782
O6 O 0.8536 0.1381 0.8581
O7 O 0.4048 0.6374 0.4514
O8 O 0.1495 0.3641 0.6449
O9 O 0.4015 0.1355 0.9513
O10 O 0.9315 0.3636 0.2154
O11 O 0.4759 0.8614 0.8092
O12 O 0.9953 0.3626 0.4293
O13 O 0.5202 0.1384 0.1922
O14 O 0.3379 0.8644 0.5932
O15 O 0.5880 0.8655 0.0519
O16 O 0.7394 0.6329 0.1153
O17 O 0.6627 0.6382 0.9053
O18 O 0.1297 0.8619 0.1401
O19 O 0.8157 0.3629 0.9778
O20 O 0.0638 0.6338 0.7871
O21 O 0.9962 0.1361 0.0691
O22 O 0.6626 0.3611 0.7627
O23 O 0.9347 0.8633 0.7167
O24 O 0.7362 0.1375 0.6179
O25 O 0.0084 0.6398 0.5727
O26 O 0.8584 0.6396 0.3585
O27 O 0.3302 0.3604 0.0956
O28 O 0.3301 0.1362 0.7351
O29 O 0.6595 0.8608 0.2622
O30 O 0.4824 0.3638 0.3114
O31 O 0.5978 0.3653 0.5490
O32 O 0.2642 0.3624 0.8817
O33 O 0.6638 0.1372 0.4027
O34 O 0.9957 0.8600 0.9284
O35 O 0.1884 0.1405 0.5244
O36 O 0.2638 0.8646 0.3808
Li1 Li 0.8310 0.4997 0.6689
Li2 Li 0.6184 0.4988 0.2207
Li3 Li 0.3386 0.2510 0.4159
Li4 Li 0.6106 0.9983 0.7176
Li5 Li 0.0054 0.2496 0.7488
Li6 Li 0.2938 0.5015 0.5564
Li7 Li 0.7086 0.4990 0.4451
Li8 Li 0.3745 0.5005 0.7789
Li9 Li 0.9546 0.5015 0.8891
Li10 Li 0.0444 0.4974 0.1129
Li11 Li 0.5042 0.9990 0.5005
Li12 Li 0.9503 0.0010 0.3870
Li13 Li 0.0515 0.0002 0.6127
Li14 Li 0.3288 0.7486 0.9143
Li15 Li 0.5021 0.4976 0.9973
Li16 Li 0.1689 0.9995 0.8340
Li17 Li 0.3836 0.0029 0.2845
Li18 Li 0.7142 0.9985 0.9474
Li19 Li 0.6646 0.7516 0.5826
Li20 Li 0.6712 0.2491 0.0818
Li21 Li 0.0049 0.7498 0.2508
Li22 Li 0.2777 0.9997 0.0507
Li23 Li 0.8316 0.0017 0.1674
Li24 Li 0.1710 0.5019 0.3323
Mn1 Mn 0.4441 0.2507 0.6390
Mn2 Mn 0.1099 0.2493 0.9721
Mn3 Mn 0.7775 0.2505 0.3061
Mn4 Mn 0.7740 0.7481 0.8068
Mn5 Mn 0.1174 0.7538 0.4730
Cr1 Cr 0.5663 0.7506 0.3599
Cr2 Cr 0.8874 0.7500 0.0309
Cr3 Cr 0.2157 0.7501 0.6933
Cr4 Cr 0.2280 0.2497 0.1931
Cr5 Cr 0.5615 0.2492 0.8593
Cr6 Cr 0.8960 0.2511 0.5269
Cr7 Cr 0.4356 0.7466 0.1347
# space-group type: P1
# calculated volume: 631.4 Å³ per cell
# E above lowest polymorph: 6 kJ/mol of formula units
# electronic total energy: -448.5 eV per formula unit
# magnetization: 0.40 μB/atom